#i
Compound: MnGaRe3
Source: Alexandria
Functional: GGA-PBE
Structure: relaxed

## Properties
Density: 13.06 g cm⁻³
Space-group type: Pm-3m (221)

Cell and atoms, written as extended XYZ:
```
5
Lattice="4.429 0.000 0.000 0.000 4.429 0.000 0.000 0.000 4.429" Properties=species:S:1:pos:R:3 pbc="T T T"
Mn 0.000 0.000 0.000
Ga 2.214 2.214 2.214
Re 0.000 0.000 2.214
Re 0.000 2.214 0.000
Re 2.214 0.000 0.000
```

***

#ii
Compound: MnGaRe3
Source: Alexandria
Functional: GGA-PBE
Structure: relaxed

## Properties
Density: 12.90 g cm⁻³
Space-group type: Pm-3m (221)

Cell and atoms, written as extended XYZ:
```
5
Lattice="4.447 0.000 0.000 0.000 4.447 0.000 0.000 0.000 4.447" Properties=species:S:1:pos:R:3 pbc="T T T"
Mn 0.000 0.000 0.000
Ga 2.223 2.223 2.223
Re 0.000 2.223 2.223
Re 2.223 0.000 2.223
Re 2.223 2.223 0.000
```

***

Energy ordering: #i at the bottom, the next structure 706 meV per atom above.

***

#i
Compound: Mn2GaRh2
Source: Alexandria
Functional: GGA-PBE
Structure: relaxed

## Properties
Density: 9.14 g cm⁻³
Space-group type: P4/mbm (127)

Cell and atoms, written as extended XYZ:
```
10
Lattice="7.128 0.000 0.000 0.000 7.128 0.000 0.000 0.000 2.757" Properties=species:S:1:pos:R:3 pbc="T T T"
Mn 0.799 2.765 0.000
Mn 2.765 6.329 0.000
Mn 4.363 0.799 0.000
Mn 6.329 4.363 0.000
Ga 0.000 0.000 0.000
Ga 3.564 3.564 0.000
Rh 1.296 4.860 1.378
Rh 2.268 1.296 1.378
Rh 4.860 5.832 1.378
Rh 5.832 2.268 1.378
```

***

#ii
Compound: Mn2GaRh2
Source: Alexandria
Functional: GGA-PBE
Structure: relaxed

## Properties
Density: 8.33 g cm⁻³
Space-group type: P4/mbm (127)

Cell and atoms, written as extended XYZ:
```
10
Lattice="7.012 0.000 0.000 0.000 7.012 0.000 0.000 0.000 3.126" Properties=species:S:1:pos:R:3 pbc="T T T"
Mn 1.058 2.448 0.000
Mn 2.448 5.953 0.000
Mn 4.564 1.058 0.000
Mn 5.953 4.564 0.000
Ga 0.000 0.000 1.563
Ga 3.506 3.506 1.563
Rh 1.037 4.543 1.563
Rh 2.469 1.037 1.563
Rh 4.543 5.975 1.563
Rh 5.975 2.469 1.563
```

***

Energy ordering: #ii at the bottom, the next structure 145 meV per atom above.

***

#i
Compound: Mn2GaS
Source: Alexandria
Functional: GGA-PBE
Structure: relaxed

## Properties
Density: 6.79 g cm⁻³
Space-group type: R3m (160)

Cell and atoms, written as extended XYZ:
```
4
Lattice="1.484 0.857 6.781 -1.484 0.857 6.781 0.000 -1.714 6.781" Properties=species:S:1:pos:R:3 pbc="T T T"
Mn 0.000 0.000 0.000
Mn 0.000 0.000 2.800
Ga 0.000 0.000 11.579
S 0.000 0.000 8.185
```

***

#ii
Compound: Mn2GaS
Source: Alexandria
Functional: GGA-PBE
Structure: relaxed

## Properties
Density: 7.28 g cm⁻³
Space-group type: P4/mmm (123)

Cell and atoms, written as extended XYZ:
```
4
Lattice="2.775 0.000 0.000 0.000 2.775 0.000 0.000 0.000 6.268" Properties=species:S:1:pos:R:3 pbc="T T T"
Mn 0.000 0.000 1.308
Mn 0.000 0.000 4.960
Ga 1.387 1.387 3.134
S 1.387 1.387 0.000
```

***

Energy ordering: #i at the bottom, the next structure 171 meV per atom above.

***

#i
Compound: MnGa2S
Source: Alexandria
Functional: GGA-PBE
Structure: relaxed

## Properties
Density: 5.44 g cm⁻³
Space-group type: I4mm (107)

Cell and atoms, written as extended XYZ:
```
4
Lattice="-1.719 1.719 5.855 1.719 -1.719 5.855 1.719 1.719 -5.855" Properties=species:S:1:pos:R:3 pbc="T T T"
Mn 0.000 0.000 0.000
Ga 0.000 0.000 5.451
Ga 0.000 0.000 9.187
S 0.000 0.000 2.278
```

***

#ii
Compound: MnGa2S
Source: Alexandria
Functional: GGA-PBE
Structure: relaxed

## Properties
Density: 5.99 g cm⁻³
Space-group type: Amm2 (38)

Cell and atoms, written as extended XYZ:
```
4
Lattice="2.792 0.000 0.000 0.000 2.077 5.412 0.000 -2.077 5.412" Properties=species:S:1:pos:R:3 pbc="T T T"
Mn 0.000 0.000 0.000
Ga 1.396 0.000 2.176
Ga 1.396 0.000 5.654
S 1.396 0.000 9.114
```

***

Energy ordering: #ii at the bottom, the next structure 67 meV per atom above.

***

#i
Compound: MnGa2S
Source: Alexandria
Functional: GGA-PBE
Structure: relaxed

## Properties
Density: 5.64 g cm⁻³
Space-group type: Imm2 (44)

Cell and atoms, written as extended XYZ:
```
4
Lattice="-1.337 2.134 5.841 1.337 -2.134 5.841 1.337 2.134 -5.841" Properties=species:S:1:pos:R:3 pbc="T T T"
Mn 0.000 0.000 0.000
Ga 1.337 0.000 2.166
Ga 0.000 0.000 5.931
S 0.000 0.000 9.394
```

***

#ii
Compound: MnGa2S
Source: Alexandria
Functional: GGA-PBE
Structure: relaxed

## Properties
Density: 5.66 g cm⁻³
Space-group type: Cm (8)

Cell and atoms, written as extended XYZ:
```
4
Lattice="2.067 -6.080 0.000 2.067 6.080 0.000 -0.982 0.000 2.644" Properties=species:S:1:pos:R:3 pbc="T T T"
Mn 0.000 0.000 0.000
Ga 1.351 3.877 1.180
Ga 1.351 -3.877 1.180
S 1.046 0.000 1.904
```

***

#iii
Compound: MnGa2S
Source: Alexandria
Functional: GGA-PBE
Structure: relaxed

## Properties
Density: 5.54 g cm⁻³
Space-group type: Imm2 (44)

Cell and atoms, written as extended XYZ:
```
4
Lattice="-1.771 4.124 2.326 1.771 -4.124 2.326 1.771 4.124 -2.326" Properties=species:S:1:pos:R:3 pbc="T T T"
Mn 0.000 0.000 0.000
Ga 1.771 1.743 -0.943
Ga 0.000 2.381 1.382
S 0.000 0.000 2.294
```

***

#iv
Compound: MnGa2S
Source: Alexandria
Functional: GGA-PBE
Structure: relaxed

## Properties
Density: 6.16 g cm⁻³
Space-group type: C2 (5)

Cell and atoms, written as extended XYZ:
```
4
Lattice="4.195 -2.666 0.000 4.195 2.666 0.000 -1.001 0.000 2.728" Properties=species:S:1:pos:R:3 pbc="T T T"
Mn 0.000 0.000 0.000
Ga 2.306 1.067 0.855
Ga 5.082 1.067 1.873
S 3.694 -1.064 1.364
```

***

Energy ordering: #iv at the bottom, the next structure 65 meV per atom above.

***

#i
Compound: MnGa2S
Source: Alexandria
Functional: GGA-PBE
Structure: relaxed

## Properties
Density: 5.14 g cm⁻³
Space-group type: Cm (8)

Cell and atoms, written as extended XYZ:
```
4
Lattice="4.197 -2.041 0.000 4.197 2.041 0.000 -0.541 0.000 4.267" Properties=species:S:1:pos:R:3 pbc="T T T"
Mn 0.000 0.000 0.000
Ga 2.440 0.000 3.531
Ga 5.799 0.000 0.370
S 0.449 0.000 2.217
```

***

#ii
Compound: MnGa2S
Source: Alexandria
Functional: GGA-PBE
Structure: relaxed

## Properties
Density: 5.41 g cm⁻³
Space-group type: Cm (8)

Cell and atoms, written as extended XYZ:
```
4
Lattice="3.816 -1.679 0.000 3.816 1.679 0.000 -0.045 0.000 5.423" Properties=species:S:1:pos:R:3 pbc="T T T"
Mn 0.000 0.000 0.000
Ga 5.263 0.000 1.501
Ga 7.451 0.000 2.869
S 2.240 0.000 4.996
```

***

Energy ordering: #ii at the bottom, the next structure 33 meV per atom above.

***

#i
Compound: Mn2GaS4
Source: Alexandria
Functional: GGA-PBE
Structure: relaxed

## Properties
Density: 3.60 g cm⁻³
Space-group type: I4/mmm (139)

Cell and atoms, written as extended XYZ:
```
7
Lattice="-2.398 2.398 6.170 2.398 -2.398 6.170 2.398 2.398 -6.170" Properties=species:S:1:pos:R:3 pbc="T T T"
Mn 0.000 0.000 1.419
Mn 0.000 0.000 10.921
Ga 0.000 0.000 6.170
S 2.398 0.000 0.000
S 0.000 0.000 3.603
S 0.000 2.398 0.000
S 0.000 0.000 8.737
```

***

#ii
Compound: Mn2GaS4
Source: Alexandria
Functional: GGA-PBE
Structure: relaxed

## Properties
Density: 3.84 g cm⁻³
Space-group type: I4_1/amd (141)

Cell and atoms, written as extended XYZ:
```
14
Lattice="-3.608 3.608 5.114 3.608 -3.608 5.114 3.608 3.608 -5.114" Properties=species:S:1:pos:R:3 pbc="T T T"
Mn 0.000 0.000 0.000
Mn 1.804 1.804 -2.557
Mn 1.804 -1.804 2.557
Mn 0.000 3.608 0.000
Ga 3.608 1.804 1.279
Ga 0.000 1.804 3.836
S 3.608 3.506 -2.630
S 1.702 1.804 -0.073
S 1.906 -1.804 5.041
S 3.608 -0.102 2.630
S 0.000 3.709 2.484
S 1.702 5.412 0.073
S 1.906 1.804 5.187
S 0.000 0.102 7.744
```

***

Energy ordering: #ii at the bottom, the next structure 608 meV per atom above.

***

#i
Compound: MnGa3S
Source: Alexandria
Functional: GGA-PBE
Structure: relaxed

## Properties
Density: 4.44 g cm⁻³
Space-group type: Pm-3m (221)

Cell and atoms, written as extended XYZ:
```
5
Lattice="4.804 0.000 0.000 0.000 4.804 0.000 0.000 0.000 4.804" Properties=species:S:1:pos:R:3 pbc="T T T"
Mn 0.000 0.000 0.000
Ga 0.000 0.000 2.402
Ga 0.000 2.402 0.000
Ga 2.402 0.000 0.000
S 2.402 2.402 2.402
```

***

#ii
Compound: MnGa3S
Source: Alexandria
Functional: GGA-PBE
Structure: relaxed

## Properties
Density: 4.53 g cm⁻³
Space-group type: Pm-3m (221)

Cell and atoms, written as extended XYZ:
```
5
Lattice="4.771 0.000 0.000 0.000 4.771 0.000 0.000 0.000 4.771" Properties=species:S:1:pos:R:3 pbc="T T T"
Mn 0.000 0.000 0.000
Ga 0.000 2.386 2.386
Ga 2.386 0.000 2.386
Ga 2.386 2.386 0.000
S 2.386 2.386 2.386
```

***

Energy ordering: #i at the bottom, the next structure 311 meV per atom above.

***

#i
Compound: Mn2Ga2S5
Source: Alexandria
Functional: GGA-PBE
Structure: relaxed

## Properties
Density: 3.65 g cm⁻³
Space-group type: P-3m1 (164)

Cell and atoms, written as extended XYZ:
```
9
Lattice="3.690 0.000 0.000 -1.845 3.195 0.000 0.000 0.000 15.824" Properties=species:S:1:pos:R:3 pbc="T T T"
Mn 0.000 2.130 1.475
Mn 1.845 1.065 14.349
Ga 0.000 2.130 10.797
Ga 1.845 1.065 5.027
S 0.000 0.000 0.000
S 0.000 2.130 6.053
S 0.000 2.130 13.030
S 1.845 1.065 2.794
S 1.845 1.065 9.771
```

***

#ii
Compound: Mn2Ga2S5
Source: Alexandria
Functional: GGA-PBE
Structure: relaxed

## Properties
Density: 3.17 g cm⁻³
Space-group type: C2/m (12)

Cell and atoms, written as extended XYZ:
```
9
Lattice="9.644 -1.843 0.000 9.644 1.843 0.000 -1.733 0.000 6.046" Properties=species:S:1:pos:R:3 pbc="T T T"
Mn 0.874 0.000 1.751
Mn 16.681 0.000 4.295
Ga 7.165 0.000 0.586
Ga 10.390 0.000 5.460
S 3.097 0.000 0.634
S 6.854 0.000 2.775
S 9.644 0.000 0.000
S 10.700 0.000 3.271
S 14.458 0.000 5.412
```

***

Energy ordering: #i at the bottom, the next structure 95 meV per atom above.

***

#i
Compound: MnGaSb
Source: Alexandria
Functional: GGA-PBE
Structure: relaxed

## Properties
Density: 7.40 g cm⁻³
Space-group type: C2/m (12)

Cell and atoms, written as extended XYZ:
```
6
Lattice="5.638 -1.613 0.000 5.638 1.613 0.000 -2.336 0.000 6.081" Properties=species:S:1:pos:R:3 pbc="T T T"
Mn 0.229 0.000 2.920
Mn 8.711 0.000 3.161
Ga 1.881 0.000 4.759
Ga 7.058 0.000 1.322
Sb 4.187 0.000 1.421
Sb 4.752 0.000 4.659
```

***

#ii
Compound: MnGaSb
Source: Alexandria
Functional: GGA-PBE
Structure: relaxed

## Properties
Density: 6.93 g cm⁻³
Space-group type: F-43m (216)

Cell and atoms, written as extended XYZ:
```
3
Lattice="0.000 3.090 3.090 3.090 0.000 3.090 3.090 3.090 0.000" Properties=species:S:1:pos:R:3 pbc="T T T"
Mn 0.000 0.000 0.000
Ga 1.545 1.545 1.545
Sb 4.635 4.635 4.635
```

***

Energy ordering: #ii at the bottom, the next structure 15 meV per atom above.

***

#i
Compound: ScMnGa3
Source: Alexandria
Functional: GGA-PBE
Structure: relaxed

## Properties
Density: 5.44 g cm⁻³
Space-group type: Cmcm (63)

Cell and atoms, written as extended XYZ:
```
20
Lattice="4.543 -4.572 0.000 4.543 4.572 0.000 0.000 0.000 9.079" Properties=species:S:1:pos:R:3 pbc="T T T"
Sc 4.543 4.072 6.810
Sc 4.543 0.860 6.810
Sc 4.543 -0.860 2.270
Sc 4.543 -4.072 2.270
Mn 2.271 2.286 0.000
Mn 2.271 2.286 4.540
Mn 2.271 -2.286 0.000
Mn 2.271 -2.286 4.540
Ga 2.565 2.187 2.270
Ga 4.543 2.369 0.292
Ga 4.543 2.369 4.248
Ga 2.344 0.000 0.000
Ga 2.344 0.000 4.540
Ga 6.520 2.187 2.270
Ga 2.565 -2.187 6.810
Ga 6.741 0.000 0.000
Ga 6.741 0.000 4.540
Ga 4.543 -2.369 4.831
Ga 4.543 -2.369 8.788
Ga 6.520 -2.187 6.810
```

***

#ii
Compound: ScMnGa3
Source: Alexandria
Functional: GGA-PBE
Structure: relaxed

## Properties
Density: 5.52 g cm⁻³
Space-group type: Pm-3m (221)

Cell and atoms, written as extended XYZ:
```
5
Lattice="4.531 0.000 0.000 0.000 4.531 0.000 0.000 0.000 4.531" Properties=species:S:1:pos:R:3 pbc="T T T"
Sc 0.000 0.000 0.000
Mn 2.266 2.266 2.266
Ga 0.000 2.266 2.266
Ga 2.266 0.000 2.266
Ga 2.266 2.266 0.000
```

***

Energy ordering: #i at the bottom, the next structure 18 meV per atom above.